Entry 1:
Here is an optimized crystal structure of CrTeAs2 from Alexandria. Energies are from PBE-GGA.

a b c (Å): 4.752 4.080 4.511
angles (deg): 78.69 90.00 90.00
Each line ends with the local moment (μB).
Positions (direct):
As  0.000  0.042  0.069  -0.06
As  0.000  0.458  0.431  -0.06
Te  0.500  0.750  0.750  -0.10
Cr  0.500  0.250  0.250  3.16

Summary:
The calculation puts the spin magnetization at 0.796 μB per atom.

***

Entry 2:
Here is an optimized crystal structure of Cr2TeAs from Alexandria. Energies are from PBE-GGA.

a b c (Å): 5.369 3.873 3.879
angles (deg): 89.67 90.00 90.00
Each line ends with the local moment (μB).
Positions (direct):
As  0.500  0.859  0.856  -0.22
Te  0.000  0.404  0.410  -0.13
Cr  0.000  0.906  0.911  3.46
Cr  0.500  0.331  0.323  3.35

Summary:
The calculation puts the spin magnetization at 1.735 μB per atom. Its energy above the most stable polymorph in this dataset is 0.0895 eV/atom.

***

Entry 3:
Here is an optimized crystal structure of CrTeAs2 from Alexandria. Energies are from PBE-GGA.

a b c (Å): 9.295 9.295 9.295
angles (deg): 19.55 19.55 19.55
Each line ends with the local moment (μB).
Positions (direct):
Te  0.750  0.750  0.750  -0.02
As  0.978  0.978  0.978  -0.05
Cr  0.250  0.250  0.250  0.86
As  0.522  0.522  0.522  -0.05

Summary:
The calculation puts the spin magnetization at 0.180 μB per atom.

***

Entry 4:
Here is an optimized crystal structure of CrTeAs2 from Alexandria. Energies are from PBE-GGA.

a b c (Å): 3.229 3.229 7.599
angles (deg): 90.00 90.00 90.00
Positions (direct):
Cr  0.000  0.000  0.453
Te  0.500  0.500  0.670
As  0.000  0.000  0.092
As  0.500  0.500  0.284

Summary:
The calculation puts the spin magnetization at 0.000 μB per atom.

***

Entry 5:
Here is an optimized crystal structure of CrTeAs from Alexandria. Energies are from PBE-GGA.

a b c (Å): 3.585 3.585 5.760
angles (deg): 90.00 90.00 120.00
Each line ends with the local moment (μB).
Positions (direct):
Cr  0.333  0.667  0.311  2.14
As  0.000  0.000  0.081  -0.19
Te  0.667  0.333  0.609  -0.16

Summary:
The calculation puts the spin magnetization at 0.573 μB per atom.

***

Entry 6:
Here is an optimized crystal structure of Cr2TeAs from Alexandria. Energies are from PBE-GGA.

a b c (Å): 6.665 6.665 3.644
angles (deg): 90.00 90.00 30.37
Each line ends with the local moment (μB).
Positions (direct):
Cr  0.745  0.745  0.625  3.30
Cr  0.937  0.937  0.125  3.20
As  0.285  0.285  0.125  -0.20
Te  0.533  0.533  0.625  -0.18

Summary:
The calculation puts the spin magnetization at 1.670 μB per atom. Its energy above the most stable polymorph in this dataset is 0.0580 eV/atom.

***

Entry 7:
Here is an optimized crystal structure of Cr4TeAs from Alexandria. Energies are from PBE-GGA.

a b c (Å): 4.949 4.949 4.949
angles (deg): 60.00 60.00 60.00
Positions (direct):
Cr  0.374  0.879  0.374
Cr  0.374  0.374  0.879
Cr  0.879  0.374  0.374
As  0.000  0.000  0.000
Te  0.750  0.750  0.750
Cr  0.374  0.374  0.374

Summary:
The calculation puts the spin magnetization at 0.000 μB per atom.

***

Entry 8:
Here is an optimized crystal structure of CrTeAs2 from Alexandria. Energies are from PBE-GGA.

a b c (Å): 6.107 6.107 6.107
angles (deg): 146.62 135.78 56.52
Each line ends with the local moment (μB).
Positions (direct):
As  0.928  0.928  0.000  -0.09
Cr  0.750  0.250  0.500  2.90
Te  0.250  0.750  0.500  -0.05
As  0.572  0.572  0.000  -0.09

Summary:
The calculation puts the spin magnetization at 0.707 μB per atom.

***

| no. | raw formation energy (eV/atom) |
| --- | --- |
| 1 | 0.1488 |
| 2 | 0.0720 |
| 3 | 0.1133 |
| 4 | 0.1934 |
| 5 | 0.0374 |
| 6 | 0.0405 |
| 7 | 0.5024 |
| 8 | 0.2966 |